1.
# LiHfZr2H

A geometry-optimized LiHfZr2H structure (PBE, Alexandria).

abc: 4.447 4.447 4.383
angles: 90.00 90.00 90.00
Space group P4/mmm (No. 123)
Unique sites:
Li (0.000, 0.000, 0.000) x1
Hf (0.500, 0.500, 0.000) x1
Zr (0.000, 0.500, 0.500) x2
H (0.500, 0.500, 0.500) x1

Properties
The calculation puts the volume at 86.7 Å³ per cell. The calculation puts the total magnetic moment at 0.00 μB per formula unit. Its uncorrected energy is -0.4729 Ry/atom.


2.
# CeZn2Pt3

A geometry-optimized CeZn2Pt3 structure (PBE, Alexandria).

abc: 6.773 12.852 5.208
angles: 90.00 90.00 90.00
Space group Cmcm (No. 63)
Unique sites:
Ce (0.000, 0.185, 0.250) x4
Zn (0.194, 0.500, 0.000) x8
Pt (0.000, 0.349, 0.750) x4
Pt (0.205, 0.162, 0.750) x8

Properties
The calculation puts the volume at 453.3 Å³ per cell. The calculation puts the total magnetic moment at 0.00 μB per formula unit. Its uncorrected energy is -0.3700 Ry/atom.


3.
# Zn5Cu5Au2

A geometry-optimized Zn5Cu5Au2 structure (PBE, Alexandria).

abc: 12.754 3.131 9.794
angles: 90.00 120.68 90.00
Space group C2/m (No. 12)
Unique sites:
Zn (0.000, 0.000, 0.000) x2
Zn (0.099, 0.000, 0.752) x4
Zn (0.172, 0.000, 0.528) x4
Cu (0.000, 0.500, 0.500) x2
Cu (0.167, 0.500, 0.991) x4
Cu (0.240, 0.000, 0.227) x4
Au (0.080, 0.500, 0.264) x4

Properties
The calculation puts the volume at 336.3 Å³ per cell. The calculation puts the total magnetic moment at 0.00 μB per formula unit. Its uncorrected energy is -0.2120 Ry/atom.


4.
# BaPa3Au4S12

A geometry-optimized BaPa3Au4S12 structure (PBE, Alexandria).

abc: 13.7555 13.7555 10.4490
angles: 90.00 90.00 120.00
Space group R32 (No. 155, hexagonal axes)
Unique sites:
Ba (0.0000, 0.0000, 0.0000) x3
Pa (0.0000, 0.5652, 0.0000) x9
Au (0.0000, 0.0000, 0.5000) x3
Au (0.0000, 0.4007, 0.5000) x9
S (0.0000, 0.5941, 0.5000) x9
S (0.0000, 0.8299, 0.5000) x9
S (0.0532, 0.1964, 0.2027) x18

Properties
The calculation puts the volume at 1712.2 Å³ per cell. The calculation puts the total magnetic moment at 0.00 μB per formula unit. As for the energy relative to the elements, uncorrected: -83 kJ/mol of atoms. Its uncorrected energy is -0.4054 Ry/atom.


5.
# BaCo3Pt

A geometry-optimized BaCo3Pt structure (PBE, Alexandria).

abc: 4.796 4.796 4.796
angles: 90.00 90.00 90.00
Space group Pm-3m (No. 221)
Unique sites:
Ba (0.000, 0.000, 0.000) x1
Co (0.000, 0.500, 0.500) x3
Pt (0.500, 0.500, 0.500) x1

Properties
The calculation puts the volume at 110.3 Å³ per cell. The calculation puts the total magnetic moment at 5.97 μB per formula unit. Its uncorrected energy is -0.3863 Ry/atom.


6.
# HgH4Pt

A geometry-optimized HgH4Pt structure (PBE, Alexandria).

abc: 5.905 8.270 5.464
angles: 90.00 90.00 90.00
Space group Cmcm (No. 63)
Unique sites:
Hg (0.000, 0.113, 0.250) x4
H (0.000, 0.376, 0.548) x8
H (0.217, 0.082, 0.750) x8
Pt (0.000, 0.440, 0.250) x4

Properties
The calculation puts the volume at 266.8 Å³ per cell. The calculation puts the total magnetic moment at 0.00 μB per formula unit. Its uncorrected energy is -0.2355 Ry/atom.


7.
# CaTa

A geometry-optimized CaTa structure (PBE, Alexandria).

abc: 9.665 3.055 7.029
angles: 90.00 92.89 90.00
Space group C2/m (No. 12)
Unique sites:
Ca (0.118, 0.000, 0.338) x4
Ta (0.133, 0.500, 0.938) x4

Properties
The calculation puts the volume at 207.3 Å³ per cell. The calculation puts the total magnetic moment at 0.00 μB per formula unit. Its uncorrected energy is -0.4645 Ry/atom.


8.
# PPtPb3

A geometry-optimized PPtPb3 structure (PBE, Alexandria).

abc: 5.349 5.349 5.349
angles: 90.00 90.00 90.00
Space group Pm-3m (No. 221)
Unique sites:
P (0.000, 0.000, 0.000) x1
Pt (0.500, 0.500, 0.500) x1
Pb (0.000, 0.500, 0.500) x3

Properties
The calculation puts the volume at 153.1 Å³ per cell. The calculation puts the total magnetic moment at 0.00 μB per formula unit. Its uncorrected energy is -0.3041 Ry/atom.


9.
# BeP2RhCl

A geometry-optimized BeP2RhCl structure (PBE, Alexandria).

abc: 4.543 4.543 4.985
angles: 90.00 90.00 90.00
Space group P4/mmm (No. 123)
Unique sites:
Be (0.000, 0.000, 0.000) x1
P (0.000, 0.500, 0.500) x2
Rh (0.500, 0.500, 0.500) x1
Cl (0.500, 0.500, 0.000) x1

Properties
The calculation puts the volume at 102.9 Å³ per cell. The calculation puts the total magnetic moment at 0.00 μB per formula unit. As for the energy relative to the elements, uncorrected: 77 kJ/mol of atoms. Its uncorrected energy is -0.2901 Ry/atom.


10.
# Nd3ZnHg

A geometry-optimized Nd3ZnHg structure (PBE, Alexandria).

abc: 5.353 19.959 5.355
angles: 90.00 90.00 90.00
Space group Cmcm (No. 63)
Unique sites:
Nd (0.000, 0.064, 0.250) x4
Nd (0.000, 0.250, 0.250) x4
Nd (0.000, 0.434, 0.250) x4
Zn (0.000, 0.153, 0.750) x4
Hg (0.000, 0.344, 0.750) x4

Properties
The calculation puts the volume at 572.2 Å³ per cell. The calculation puts the total magnetic moment at 0.25 μB per formula unit. Its uncorrected energy is -0.2549 Ry/atom.